Entry 1:
A plane-wave DFT calculation with PBE-GGA was carried out for a relaxed InGaIr crystal.

Results
formation energy from the elements	-5.7	kcal/mol of atoms
final energy	-30.75	eV per cell
crystal system	monoclinic

Geometry as CIF:
```
data_InGaIr
_cell_length_a 6.2299
_cell_length_b 2.9643
_cell_length_c 6.8080
_cell_angle_alpha 90.00
_cell_angle_beta 113.94
_cell_angle_gamma 90.00
_symmetry_space_group_name_H-M 'P 1 m 1'
_symmetry_Int_Tables_number 6
loop_
_symmetry_equiv_pos_as_xyz
'x,y,z'
'x,-y,z'
loop_
_atom_site_label
_atom_site_fract_x
_atom_site_fract_y
_atom_site_fract_z
In1 0.0000 0.0000 0.0000
In2 0.1913 0.0000 0.5189
Ga1 0.4491 0.0000 0.0144
Ga2 0.6847 0.0000 0.5011
Ir1 0.5851 0.5000 0.7577
Ir2 0.8033 0.5000 0.2579
```

---

Entry 2:
A plane-wave DFT calculation with PBE-GGA was carried out for a relaxed Bi3PdO crystal.

Results
raw formation energy	-0.10	eV per atom
energy relative to the lowest polymorph listed for this composition	0	meV per atom
final energy	-22.30	eV per cell
crystal system	cubic

Geometry as CIF:
```
data_Bi3PdO
_cell_length_a 4.8869
_cell_length_b 4.8869
_cell_length_c 4.8869
_cell_angle_alpha 90.00
_cell_angle_beta 90.00
_cell_angle_gamma 90.00
_symmetry_space_group_name_H-M 'P m -3 m'
_symmetry_Int_Tables_number 221
_symmetry_space_group_name_Hall '-P 4 2 3'
loop_
_atom_site_label
_atom_site_fract_x
_atom_site_fract_y
_atom_site_fract_z
Bi1 0.0000 0.0000 0.5000
Pd1 0.5000 0.5000 0.5000
O1 0.0000 0.0000 0.0000
```

---

Entry 3:
A plane-wave DFT calculation with PBE-GGA was carried out for a relaxed BSbSe2Br crystal.

Results
raw formation energy	0.53	eV per atom
energy relative to the lowest polymorph listed for this composition	0	meV per atom
final energy	-16.78	eV per cell
crystal system	tetragonal

Geometry as CIF:
```
data_BSbSe2Br
_cell_length_a 4.7080
_cell_length_b 4.7080
_cell_length_c 4.5064
_cell_angle_alpha 90.00
_cell_angle_beta 90.00
_cell_angle_gamma 90.00
_symmetry_space_group_name_H-M 'P 4/m m m'
_symmetry_Int_Tables_number 123
_symmetry_space_group_name_Hall '-P 4 2'
loop_
_atom_site_label
_atom_site_fract_x
_atom_site_fract_y
_atom_site_fract_z
B1 0.0000 0.0000 0.0000
Sb1 0.5000 0.5000 0.5000
Se1 0.0000 0.5000 0.0000
Br1 0.0000 0.0000 0.5000
```

---

Entry 4:
A plane-wave DFT calculation with PBE-GGA was carried out for a relaxed Th2ZnGePt6 crystal.

Results
formation energy from the elements	-18.3	kcal/mol of atoms
final energy	-129.84	eV per cell
crystal system	monoclinic

Geometry as CIF:
```
data_Th2ZnGePt6
_cell_length_a 9.7942
_cell_length_b 5.6605
_cell_length_c 8.4102
_cell_angle_alpha 90.00
_cell_angle_beta 112.82
_cell_angle_gamma 90.00
_symmetry_space_group_name_H-M 'C 1 2/m 1'
_symmetry_Int_Tables_number 12
loop_
_symmetry_equiv_pos_as_xyz
'x,y,z'
'-x,-y,-z'
'-x,y,-z'
'x,-y,z'
'x+1/2,y+1/2,z'
'-x+1/2,-y+1/2,-z'
'-x+1/2,y+1/2,-z'
'x+1/2,-y+1/2,z'
loop_
_atom_site_label
_atom_site_fract_x
_atom_site_fract_y
_atom_site_fract_z
Th1 0.2074 0.0000 0.1224
Zn1 0.0000 0.5000 0.0000
Ge1 0.0000 0.0000 0.5000
Pt1 0.0009 0.2504 0.2530
Pt2 0.2492 0.0000 0.7472
```

---

Entry 5:
A plane-wave DFT calculation with PBE-GGA was carried out for a relaxed LaSm4Er4 crystal.

Results
formation energy from the elements	0.5	kcal/mol of atoms
final energy	-83.69	eV per cell
crystal system	tetragonal

Geometry as CIF:
```
data_LaSm4Er4
_cell_length_a 10.7843
_cell_length_b 10.7843
_cell_length_c 5.0552
_cell_angle_alpha 90.00
_cell_angle_beta 90.00
_cell_angle_gamma 90.00
_symmetry_space_group_name_H-M 'I 4/m m m'
_symmetry_Int_Tables_number 139
_symmetry_space_group_name_Hall '-I 4 2'
loop_
_atom_site_label
_atom_site_fract_x
_atom_site_fract_y
_atom_site_fract_z
La1 0.0000 0.0000 0.0000
Sm1 0.0000 0.3325 0.0000
Er1 0.1681 0.1681 0.5000
```

---

Entry 6:
A plane-wave DFT calculation with PBE-GGA was carried out for a relaxed TeAu3 crystal.

Results
raw formation energy	0.08	eV per atom
final energy	-50.60	eV per cell
crystal system	orthorhombic

Geometry as CIF:
```
data_TeAu3
_cell_length_a 8.1796
_cell_length_b 5.9710
_cell_length_c 7.5488
_cell_angle_alpha 90.00
_cell_angle_beta 90.00
_cell_angle_gamma 90.00
_symmetry_space_group_name_H-M 'P n m a'
_symmetry_Int_Tables_number 62
loop_
_symmetry_equiv_pos_as_xyz
'x,y,z'
'-x,-y,-z'
'-x+1/2,-y,z+1/2'
'x+1/2,y,-z+1/2'
'x+1/2,-y+1/2,-z+1/2'
'-x+1/2,y+1/2,z+1/2'
'-x,y+1/2,-z'
'x,-y+1/2,z'
loop_
_atom_site_label
_atom_site_fract_x
_atom_site_fract_y
_atom_site_fract_z
Te1 0.0858 0.2500 0.1110
Au1 0.0597 0.2500 0.6072
Au2 0.2424 0.5055 0.3584
```

---

Entry 7:
A plane-wave DFT calculation with PBE-GGA was carried out for a relaxed DyErIn crystal.

Results
formation energy from the elements	-7.2	kcal/mol of atoms
energy relative to the lowest polymorph listed for this composition	0	meV per atom
final energy	-25.69	eV per cell
crystal system	tetragonal

Geometry as CIF:
```
data_DyErIn
_cell_length_a 3.5218
_cell_length_b 3.5218
_cell_length_c 13.6800
_cell_angle_alpha 90.00
_cell_angle_beta 90.00
_cell_angle_gamma 90.00
_symmetry_space_group_name_H-M 'I 4 m m'
_symmetry_Int_Tables_number 107
_symmetry_space_group_name_Hall 'I 4 -2'
loop_
_atom_site_label
_atom_site_fract_x
_atom_site_fract_y
_atom_site_fract_z
Dy1 0.0000 0.0000 0.0000
Er1 0.0000 0.0000 0.3130
In1 0.0000 0.0000 0.6577
```

---

Entry 8:
A plane-wave DFT calculation with PBE-GGA was carried out for a relaxed TaZn2In crystal.

Results
formation energy from the elements	5.2	kcal/mol of atoms
final energy	-16.24	eV per cell
crystal system	orthorhombic

Geometry as CIF:
```
data_TaZn2In
_cell_length_a 2.9946
_cell_length_b 4.1095
_cell_length_c 5.8222
_cell_angle_alpha 90.00
_cell_angle_beta 90.00
_cell_angle_gamma 90.00
_symmetry_space_group_name_H-M 'P m m 2'
_symmetry_Int_Tables_number 25
loop_
_symmetry_equiv_pos_as_xyz
'x,y,z'
'-x,-y,z'
'-x,y,z'
'x,-y,z'
loop_
_atom_site_label
_atom_site_fract_x
_atom_site_fract_y
_atom_site_fract_z
Ta1 0.0000 0.0000 0.0000
Zn1 0.0000 0.0000 0.4704
Zn2 0.5000 0.5000 0.2304
In1 0.5000 0.5000 0.7361
```

---

Entry 9:
A plane-wave DFT calculation with PBE-GGA was carried out for a relaxed YSIN2 crystal.

Results
raw formation energy	1.07	eV per atom
energy relative to the lowest polymorph listed for this composition	265	meV per atom
final energy	-23.45	eV per cell
crystal system	tetragonal

Geometry as CIF:
```
data_YSIN2
_cell_length_a 4.2450
_cell_length_b 4.2450
_cell_length_c 7.0972
_cell_angle_alpha 90.00
_cell_angle_beta 90.00
_cell_angle_gamma 90.00
_symmetry_space_group_name_H-M 'P 4/m m m'
_symmetry_Int_Tables_number 123
_symmetry_space_group_name_Hall '-P 4 2'
loop_
_atom_site_label
_atom_site_fract_x
_atom_site_fract_y
_atom_site_fract_z
Y1 0.0000 0.0000 0.0000
S1 0.5000 0.5000 0.5000
I1 0.0000 0.0000 0.5000
N1 0.0000 0.5000 0.0000
```